Entry 1:
First-principles (PBE-GGA) data for a geometry-optimized CeTePd structure, as listed in Alexandria via LeMat-Bulk.

abc: 6.0035 4.4577 28.6526
angles: 128.49 157.88 68.20
Sites, in units of the cell vectors:
Pd  0.1848  0.6780  0.6301
Te  0.9687  0.5656  0.2000
Te  0.0313  0.4344  0.8000
Ce  0.9286  0.4729  0.2968
Pd  0.8152  0.3220  0.3699
Ce  0.0714  0.5271  0.7032

Output
The energy relative to the elements, uncorrected is -3.0 eV per formula unit. The density of states at the Fermi level is 6.2 states/eV/f.u. The total magnetic moment is 1.01 μB/f.u. The total energy is -5.7664 eV/atom.

Entry 2:
First-principles (PBE-GGA) data for a geometry-optimized ReTeW structure, as listed in Alexandria via LeMat-Bulk.

abc: 6.0035 6.0035 6.0035
angles: 149.91 149.91 43.07
Sites, in units of the cell vectors:
W  0.6501  0.6501  0.0000
Re  0.0164  0.0164  0.0000
Te  0.3335  0.3335  0.0000

Output
The energy relative to the elements, uncorrected is 1.7 eV per formula unit. The density of states at the Fermi level is 2.4 states/eV/f.u. The total magnetic moment is 0.00 μB/f.u. The total energy is -8.9449 eV/atom.

Entry 3:
First-principles (PBE-GGA) data for a geometry-optimized SrCd12Hg6 structure, as listed in Alexandria via LeMat-Bulk.

abc: 8.2744 8.2744 8.2744
angles: 104.93 104.93 104.93
Sites, in units of the cell vectors:
Hg  0.7138  0.7138  0.2772
Hg  0.7138  0.2772  0.7138
Cd  0.3849  0.1473  0.3849
Cd  0.1473  0.3849  0.3849
Hg  0.2862  0.2862  0.7228
Cd  0.1089  0.5000  0.8911
Hg  0.2772  0.7138  0.7138
Cd  0.6151  0.6151  0.8527
Cd  0.3849  0.3849  0.1473
Sr  0.0000  0.0000  0.0000
Cd  0.8911  0.5000  0.1089
Cd  0.8527  0.6151  0.6151
Cd  0.1089  0.8911  0.5000
Hg  0.7228  0.2862  0.2862
Cd  0.6151  0.8527  0.6151
Cd  0.5000  0.1089  0.8911
Hg  0.2862  0.7228  0.2862
Cd  0.5000  0.8911  0.1089
Cd  0.8911  0.1089  0.5000

Output
Its formation energy is -0.22 eV/f.u. The density of states at the Fermi level is 8.6 states/eV/f.u. The total magnetic moment is 0.00 μB/f.u. The total energy is -0.7733 eV/atom.

Entry 4:
First-principles (PBE-GGA) data for a geometry-optimized CaTb4Er3S8 structure, as listed in Alexandria via LeMat-Bulk.

abc: 7.8131 7.8322 7.8130
angles: 119.92 120.00 90.00
Sites, in units of the cell vectors:
Er  0.5000  0.5000  0.0000
S  0.2498  0.7456  0.9958
S  0.2539  0.2544  0.0042
S  0.7479  0.7437  0.4958
S  0.7502  0.2544  0.0042
S  0.2521  0.2563  0.5042
Er  0.5000  0.5000  0.5000
Tb  0.5000  0.0000  0.0000
Tb  0.0000  0.0000  0.0000
Ca  0.0000  0.5000  0.0000
S  0.7461  0.7456  0.9958
S  0.2498  0.7457  0.4996
Tb  0.0000  0.0000  0.5000
Er  0.0000  0.5000  0.5000
S  0.7502  0.2543  0.5004
Tb  0.5000  0.0000  0.5000

Output
The energy relative to the elements, uncorrected is -31.9 eV per formula unit. The density of states at the Fermi level is 7.5 states/eV/f.u. The total magnetic moment is 0.00 μB/f.u. The total energy is -6.1971 eV/atom.

Entry 5:
First-principles (PBE-GGA) data for a geometry-optimized ZnInMo structure, as listed in Alexandria via LeMat-Bulk.

abc: 6.9331 6.9331 6.9331
angles: 156.30 156.30 33.77
Sites, in units of the cell vectors:
Zn  0.6802  0.6802  0.0000
Mo  0.3244  0.3244  0.0000
In  0.9954  0.9954  0.0000

Output
Its formation energy is 1.08 eV/f.u. The density of states at the Fermi level is 2.4 states/eV/f.u. The total magnetic moment is 0.00 μB/f.u. The total energy is -4.5876 eV/atom.

Entry 6:
First-principles (PBE-GGA) data for a geometry-optimized LaMgAg structure, as listed in Alexandria via LeMat-Bulk.

abc: 3.4558 3.4558 7.5802
angles: 90.00 90.00 120.00
Sites, in units of the cell vectors:
La  0.3333  0.6667  0.3201
Ag  0.0000  0.0000  0.9734
Mg  0.6667  0.3333  0.7066

Output
Its formation energy is -0.01 eV/f.u. The density of states at the Fermi level is 2.1 states/eV/f.u. The total magnetic moment is 0.00 μB/f.u. The total energy is -3.1279 eV/atom.